Entry from Alexandria via LeMat-Bulk: a relaxed structure of MgPaCoO6 (PBE with a Hubbard U).

extended XYZ file:
```
9
Lattice="5.066 0.000 0.000 -2.533 4.387 0.000 0.000 0.000 4.695" Properties=species:S:1:pos:R:3 pbc="T T T"
Mg 0.000 0.000 0.000
Pa 2.533 1.462 2.348
Co 0.000 2.925 0.000
O -0.767 1.580 1.069
O -1.548 2.933 3.626
O 0.767 1.580 3.626
O -0.781 4.261 1.069
O 1.548 2.933 1.069
O 0.781 4.261 3.626
```

Results
energy	-64.85	eV/cell
SG	No. 149